A plane-wave DFT calculation with PBE was carried out for Zr2TiNi after structural relaxation.

Properties
Its formation energy from the elements is -17 meV/atom. The crystal system is cubic. The value obtained for the volume is 73 Å³/cell. For the density of states at the Fermi level, the calculation gives 4.54 states/eV per cell. For the mass density, the calculation gives 6.6 g cm⁻³. As for the space group: Fm-3m (225). As for the total DFT energy (no corrections): -7.71 eV per atom.

extended XYZ file:
```
4
Lattice="0.000 3.313 3.313 3.313 0.000 3.313 3.313 3.313 0.000" Properties=species:S:1:pos:R:3 pbc="T T T"
Zr 1.657 1.657 1.657
Zr 4.970 4.970 4.970
Ti 0.000 0.000 0.000
Ni 3.313 3.313 3.313
```


A plane-wave DFT calculation with PBE was carried out for Zr2TiNi after structural relaxation.

Properties
Its formation energy from the elements is 161 meV/atom. The crystal system is tetragonal. The value obtained for the volume is 155 Å³/cell. For the density of states at the Fermi level, the calculation gives 12.14 states/eV per cell. For the mass density, the calculation gives 6.2 g cm⁻³. As for the space group: I-42d (122). As for the total DFT energy (no corrections): -7.53 eV per atom.

extended XYZ file:
```
8
Lattice="-3.721 3.721 2.802 3.721 -3.721 2.802 3.721 3.721 -2.802" Properties=species:S:1:pos:R:3 pbc="T T T"
Zr 5.582 1.541 -0.700
Zr 1.541 1.861 0.700
Zr -1.861 2.181 2.101
Zr 2.181 1.861 3.502
Ti 3.721 0.000 1.401
Ti 0.000 0.000 2.802
Ni 0.000 0.000 0.000
Ni 0.000 3.721 1.401
```


A plane-wave DFT calculation with PBE was carried out for ZrTi2Ni after structural relaxation.

Properties
Its formation energy from the elements is 52 meV/atom. The crystal system is tetragonal. The value obtained for the volume is 142 Å³/cell. For the density of states at the Fermi level, the calculation gives 5.63 states/eV per cell. For the mass density, the calculation gives 5.8 g cm⁻³. As for the space group: I-42d (122). As for the total DFT energy (no corrections): -7.48 eV per atom.

extended XYZ file:
```
8
Lattice="-3.600 3.600 2.735 3.600 -3.600 2.735 3.600 3.600 -2.735" Properties=species:S:1:pos:R:3 pbc="T T T"
Zr 0.000 0.000 0.000
Zr 0.000 3.600 1.368
Ti 1.800 2.187 -0.684
Ti 5.013 1.800 0.684
Ti 1.800 1.413 2.051
Ti -1.413 1.800 3.419
Ni 3.600 0.000 1.368
Ni 0.000 0.000 2.735
```


A plane-wave DFT calculation with PBE was carried out for ZrTi2Ni2 after structural relaxation.

Properties
Its formation energy from the elements is -223 meV/atom. The crystal system is tetragonal. The value obtained for the volume is 152 Å³/cell. For the density of states at the Fermi level, the calculation gives 8.88 states/eV per cell. For the mass density, the calculation gives 6.6 g cm⁻³. As for the space group: P4/mbm (127). As for the total DFT energy (no corrections): -7.40 eV per atom.

extended XYZ file:
```
10
Lattice="7.353 0.000 0.000 0.000 7.353 0.000 0.000 0.000 2.820" Properties=species:S:1:pos:R:3 pbc="T T T"
Zr 0.000 0.000 0.000
Zr 3.677 3.677 0.000
Ti 1.116 2.561 0.000
Ti 2.561 6.237 0.000
Ti 4.792 1.116 0.000
Ti 6.237 4.792 0.000
Ni 1.030 4.706 1.410
Ni 2.647 1.030 1.410
Ni 4.706 6.323 1.410
Ni 6.323 2.647 1.410
```


A plane-wave DFT calculation with PBE was carried out for ZrTi3Ni after structural relaxation.

Properties
Its formation energy from the elements is 117 meV/atom. The crystal system is hexagonal. The value obtained for the volume is 181 Å³/cell. For the density of states at the Fermi level, the calculation gives 12.66 states/eV per cell. For the mass density, the calculation gives 5.4 g cm⁻³. As for the space group: P6_3/mmc (194). As for the total DFT energy (no corrections): -7.49 eV per atom.

extended XYZ file:
```
10
Lattice="6.200 0.000 0.000 -3.100 5.369 0.000 0.000 0.000 5.424" Properties=species:S:1:pos:R:3 pbc="T T T"
Zr 0.000 3.579 1.356
Zr 3.100 1.790 4.068
Ti 0.000 2.002 4.068
Ti -1.366 4.368 4.068
Ti 1.733 1.001 1.356
Ti 1.366 4.368 4.068
Ti 4.466 1.001 1.356
Ti 3.100 3.367 1.356
Ni 0.000 0.000 0.000
Ni 0.000 0.000 2.712
```


A plane-wave DFT calculation with PBE was carried out for ZrTi4Ni2 after structural relaxation.

Properties
Its formation energy from the elements is -185 meV/atom. The crystal system is orthorhombic. The value obtained for the volume is 116 Å³/cell. For the density of states at the Fermi level, the calculation gives 8.98 states/eV per cell. For the mass density, the calculation gives 5.7 g cm⁻³. As for the space group: Cmmm (65). As for the total DFT energy (no corrections): -7.57 eV per atom.

extended XYZ file:
```
7
Lattice="2.057 -6.840 0.000 2.057 6.840 0.000 0.000 0.000 4.118" Properties=species:S:1:pos:R:3 pbc="T T T"
Zr 0.000 0.000 0.000
Ti 2.057 4.364 2.059
Ti 2.057 2.441 0.000
Ti 2.057 -2.441 0.000
Ti 2.057 -4.364 2.059
Ni 2.057 1.119 2.059
Ni 2.057 -1.119 2.059
```


A plane-wave DFT calculation with PBE was carried out for ZrTi2Ni2 after structural relaxation.

Properties
Its formation energy from the elements is -282 meV/atom. The crystal system is tetragonal. The value obtained for the volume is 156 Å³/cell. For the density of states at the Fermi level, the calculation gives 15.01 states/eV per cell. For the mass density, the calculation gives 6.5 g cm⁻³. As for the space group: P4/mbm (127). As for the total DFT energy (no corrections): -7.46 eV per atom.

extended XYZ file:
```
10
Lattice="7.163 0.000 0.000 0.000 7.163 0.000 0.000 0.000 3.040" Properties=species:S:1:pos:R:3 pbc="T T T"
Zr 0.000 0.000 0.000
Zr 3.581 3.581 0.000
Ti 1.170 2.412 1.520
Ti 2.412 5.993 1.520
Ti 4.751 1.170 1.520
Ti 5.993 4.751 1.520
Ni 0.896 4.478 0.000
Ni 2.685 0.896 0.000
Ni 4.478 6.266 0.000
Ni 6.266 2.685 0.000
```


A plane-wave DFT calculation with PBE was carried out for Zr4Ti2Ni after structural relaxation.

Properties
Its formation energy from the elements is 573 meV/atom. The crystal system is tetragonal. The value obtained for the volume is 157 Å³/cell. For the density of states at the Fermi level, the calculation gives 10.32 states/eV per cell. For the mass density, the calculation gives 5.5 g cm⁻³. As for the space group: I4/mmm (139). As for the total DFT energy (no corrections): -7.39 eV per atom.

extended XYZ file:
```
7
Lattice="-2.460 2.460 6.477 2.460 -2.460 6.477 2.460 2.460 -6.477" Properties=species:S:1:pos:R:3 pbc="T T T"
Zr 2.460 0.000 0.000
Zr 0.000 0.000 2.539
Zr 0.000 2.460 0.000
Zr 0.000 0.000 10.415
Ti 0.000 0.000 5.107
Ti 0.000 0.000 7.847
Ni 0.000 0.000 0.000
```


A plane-wave DFT calculation with PBE was carried out for Zr2Ti3Ni2 after structural relaxation.

Properties
Its formation energy from the elements is -216 meV/atom. The crystal system is monoclinic. The value obtained for the volume is 121 Å³/cell. For the density of states at the Fermi level, the calculation gives 7.65 states/eV per cell. For the mass density, the calculation gives 6.1 g cm⁻³. As for the space group: C2/m (12). As for the total DFT energy (no corrections): -7.69 eV per atom.

extended XYZ file:
```
7
Lattice="5.159 -1.962 0.000 5.159 1.962 0.000 -3.280 0.000 5.954" Properties=species:S:1:pos:R:3 pbc="T T T"
Zr 0.495 0.000 1.754
Zr 6.542 0.000 4.200
Ti 3.712 0.000 0.242
Ti 3.518 0.000 2.977
Ti 3.325 0.000 5.712
Ni -0.880 0.000 4.218
Ni 7.917 0.000 1.736
```


A plane-wave DFT calculation with PBE was carried out for Zr2Ti2Ni after structural relaxation.

Properties
Its formation energy from the elements is 1 meV/atom. The crystal system is tetragonal. The value obtained for the volume is 188 Å³/cell. For the density of states at the Fermi level, the calculation gives 12.65 states/eV per cell. For the mass density, the calculation gives 6.0 g cm⁻³. As for the space group: P4/mbm (127). As for the total DFT energy (no corrections): -7.73 eV per atom.

extended XYZ file:
```
10
Lattice="6.441 0.000 0.000 0.000 6.441 0.000 0.000 0.000 4.526" Properties=species:S:1:pos:R:3 pbc="T T T"
Zr 1.031 2.190 0.000
Zr 2.190 5.411 0.000
Zr 4.251 1.031 0.000
Zr 5.411 4.251 0.000
Ti 0.963 4.183 2.263
Ti 2.258 0.963 2.263
Ti 4.183 5.478 2.263
Ti 5.478 2.258 2.263
Ni 0.000 0.000 2.263
Ni 3.221 3.221 2.263
```


A plane-wave DFT calculation with PBE was carried out for ZrTi2Ni9 after structural relaxation.

Properties
Its formation energy from the elements is -361 meV/atom. The crystal system is trigonal. The value obtained for the volume is 152 Å³/cell. For the density of states at the Fermi level, the calculation gives 10.94 states/eV per cell. For the mass density, the calculation gives 7.8 g cm⁻³. As for the space group: R-3m (166). As for the total DFT energy (no corrections): -6.73 eV per atom.

extended XYZ file:
```
12
Lattice="2.372 1.369 7.795 -2.372 1.369 7.795 0.000 -2.739 7.795" Properties=species:S:1:pos:R:3 pbc="T T T"
Zr 0.000 0.000 0.000
Ti 0.000 0.000 3.274
Ti 0.000 0.000 20.109
Ni -1.203 -0.695 9.812
Ni 0.000 0.000 7.807
Ni 0.000 -1.389 13.572
Ni -1.203 0.695 13.572
Ni 0.000 0.000 11.692
Ni 1.203 -0.695 9.812
Ni 0.000 1.389 9.812
Ni 0.000 0.000 15.577
Ni 1.203 0.695 13.572
```


Copy entry 2 word for word.
A plane-wave DFT calculation with PBE was carried out for Zr2TiNi after structural relaxation.

Properties
Its formation energy from the elements is 161 meV/atom. The crystal system is tetragonal. The value obtained for the volume is 155 Å³/cell. For the density of states at the Fermi level, the calculation gives 12.14 states/eV per cell. For the mass density, the calculation gives 6.2 g cm⁻³. As for the space group: I-42d (122). As for the total DFT energy (no corrections): -7.53 eV per atom.

extended XYZ file:
```
8
Lattice="-3.721 3.721 2.802 3.721 -3.721 2.802 3.721 3.721 -2.802" Properties=species:S:1:pos:R:3 pbc="T T T"
Zr 5.582 1.541 -0.700
Zr 1.541 1.861 0.700
Zr -1.861 2.181 2.101
Zr 2.181 1.861 3.502
Ti 3.721 0.000 1.401
Ti 0.000 0.000 2.802
Ni 0.000 0.000 0.000
Ni 0.000 3.721 1.401
```


> formation energy from the elements of number 5 (ZrTi3Ni)?

117 meV/atom


> total DFT energy (no corrections) of number 11 (ZrTi2Ni9)?

-6.73 eV per atom